No. 1
{
  "formula": "BaCuAg2Hg",
  "functional": "GGA-PBE",
  "state": "relaxed",
  "lattice": [[5.1297, 0.0000, 0.0000], [0.0000, 5.1297, 0.0000], [0.0000, 0.0000, 5.0770]],
  "species": ["Cu", "Hg", "Ag", "Ag", "Ba"],
  "fractional_positions": [[0.0000, 0.0000, 0.0000], [0.0000, 0.0000, 0.5000], [0.0000, 0.5000, 0.0000], [0.5000, 0.0000, 0.0000], [0.5000, 0.5000, 0.5000]],
  "e_form_mev_per_atom": -74,
  "magnetic_moment_mub_per_atom": 0.0000,
  "mass_density_kg_m3": 7672,
  "crystal_system": "tetragonal",
  "n_ef_per_ev_atom": 0.334
}

---

No. 2
{
  "formula": "Pr6Si2Te3P",
  "functional": "GGA-PBE",
  "state": "relaxed",
  "lattice": [[4.3672, 0.0000, 0.0000], [0.0000, 8.9380, 0.1820], [-2.1836, -2.7167, 9.3138]],
  "species": ["Pr", "Pr", "Pr", "Pr", "Pr", "Pr", "Si", "Si", "Te", "Te", "Te", "P"],
  "fractional_positions": [[0.3403, 0.9017, 0.6807], [0.6723, 0.5683, 0.3447], [0.6597, 0.0983, 0.3193], [0.0067, 0.2317, 0.0135], [0.9933, 0.7683, 0.9865], [0.3277, 0.4317, 0.6553], [0.8341, 0.6683, 0.6683], [0.1659, 0.3317, 0.3317], [0.5000, 0.5000, 0.0000], [0.8336, 0.1660, 0.6673], [0.1664, 0.8340, 0.3327], [0.5000, 0.0000, 0.0000]],
  "magnetic_moment_mub_per_atom": 0.0000,
  "formation_energy_uncorrected_ev_per_atom": -1.27,
  "mass_density_kg_m3": 5973,
  "crystal_system": "monoclinic",
  "n_ef_per_ev_atom": 0.220
}

---

No. 3
{
  "formula": "PrNd4Mg2",
  "functional": "GGA-PBE",
  "state": "relaxed",
  "lattice": [[5.6993, 0.0000, 0.0000], [2.8497, 4.9358, 0.0000], [2.8497, 1.6453, 9.0250]],
  "species": ["Pr", "Nd", "Nd", "Nd", "Nd", "Mg", "Mg"],
  "fractional_positions": [[0.5000, 0.5000, 0.5000], [0.7438, 0.7438, 0.7686], [0.8716, 0.8716, 0.3851], [0.2562, 0.2562, 0.2314], [0.1284, 0.1284, 0.6149], [0.6226, 0.6226, 0.1323], [0.3774, 0.3774, 0.8677]],
  "e_form_mev_per_atom": 272,
  "magnetic_moment_mub_per_atom": 0.0000,
  "mass_density_kg_m3": 5013,
  "crystal_system": "trigonal",
  "n_ef_per_ev_atom": 1.599
}

---

No. 4
{
  "formula": "MgCd6Hg10",
  "functional": "GGA-PBE",
  "state": "relaxed",
  "lattice": [[-4.5976, 1.7644, -4.0920], [4.6673, -3.2883, -6.6617], [-5.7434, -5.0818, 4.2619]],
  "species": ["Mg", "Cd", "Cd", "Cd", "Cd", "Cd", "Cd", "Hg", "Hg", "Hg", "Hg", "Hg", "Hg", "Hg", "Hg", "Hg", "Hg"],
  "fractional_positions": [[0.5000, 0.0000, 0.0000], [0.7231, 0.3957, 0.3957], [0.7231, 0.0000, 0.6043], [0.7231, 0.6043, 0.0000], [0.2769, 0.6043, 0.6043], [0.2769, 0.0000, 0.3957], [0.2769, 0.3957, 0.0000], [0.8023, 0.7498, 0.7498], [0.8023, 0.0000, 0.2502], [0.8023, 0.2502, 0.0000], [0.1977, 0.2502, 0.2502], [0.1977, 0.0000, 0.7498], [0.1977, 0.7498, 0.0000], [0.5000, 0.3333, 0.6667], [0.5000, 0.6667, 0.3333], [0.0000, 0.6667, 0.3333], [0.0000, 0.3333, 0.6667]],
  "e_form_mev_per_atom": 17,
  "magnetic_moment_mub_per_atom": 0.0000,
  "mass_density_kg_m3": 10522,
  "crystal_system": "trigonal",
  "n_ef_per_ev_atom": 0.376
}

---

No. 5
{
  "formula": "CaY2PuSb4",
  "functional": "GGA-PBE",
  "state": "relaxed",
  "lattice": [[-0.2026, 3.2320, -3.0291], [-3.0034, -4.9430, -5.0734], [-7.6201, 0.0911, 0.6068]],
  "species": ["Ca", "Y", "Y", "Pu", "Sb", "Sb", "Sb", "Sb"],
  "fractional_positions": [[0.0000, 0.5000, 0.5000], [0.0000, 0.0000, 0.0000], [0.5000, 0.0000, 0.5000], [0.5000, 0.5000, 0.0000], [0.0000, 0.7525, 0.7533], [0.0000, 0.2475, 0.2467], [0.5000, 0.7552, 0.2430], [0.5000, 0.2448, 0.7570]],
  "magnetic_moment_mub_per_atom": 0.5731,
  "formation_energy_uncorrected_ev_per_atom": -0.92,
  "mass_density_kg_m3": 6398,
  "crystal_system": "monoclinic",
  "n_ef_per_ev_atom": 2.130
}

---

No. 6
{
  "formula": "KH5Rh",
  "functional": "GGA-PBE",
  "state": "relaxed",
  "lattice": [[5.4712, 0.1888, -1.5999], [-2.9149, 4.6128, -1.6596], [0.2765, -0.4848, 5.6715]],
  "species": ["K", "K", "H", "H", "H", "H", "H", "H", "H", "H", "H", "H", "Rh", "Rh"],
  "fractional_positions": [[0.7493, 0.4993, 0.2500], [0.2507, 0.5007, 0.7500], [0.8051, 0.9999, 0.1966], [0.3033, 0.0001, 0.6948], [0.6966, 0.3915, 0.6966], [0.2532, 0.0032, 0.2500], [0.8053, 0.6085, 0.8052], [0.1947, 0.3915, 0.1948], [0.7468, 0.9968, 0.7500], [0.3034, 0.6085, 0.3034], [0.6967, 0.9999, 0.3052], [0.1949, 0.0001, 0.8034], [0.0000, 0.0000, 0.0000], [0.5000, 0.0000, 0.5000]],
  "energy_ha_per_atom": -0.1347,
  "magnetic_moment_mub_per_atom": 0.0000,
  "mass_density_kg_m3": 3450,
  "crystal_system": "orthorhombic",
  "n_ef_per_ev_atom": 0.243
}

---

No. 7
{
  "formula": "Cu2NiIr",
  "functional": "GGA-PBE",
  "state": "relaxed",
  "lattice": [[2.5936, 0.0094, 0.0000], [-1.2040, 2.2972, 0.0000], [0.0000, 0.0000, 8.5893]],
  "species": ["Cu", "Cu", "Ir", "Ni"],
  "fractional_positions": [[0.0000, 0.0000, 0.9973], [0.5000, 0.5000, 0.2410], [0.0000, 0.0000, 0.5047], [0.5000, 0.5000, 0.7570]],
  "polymorph_energy_mev_per_atom": 111,
  "e_form_mev_per_atom": 164,
  "magnetic_moment_mub_per_atom": 0.2114,
  "mass_density_kg_m3": 12242,
  "crystal_system": "orthorhombic",
  "n_ef_per_ev_atom": 1.246
}

---

No. 8
{
  "formula": "CaInAs2",
  "functional": "GGA-PBE",
  "state": "relaxed",
  "lattice": [[-2.6492, -1.0274, 1.9704], [1.9835, -2.4752, 1.3768], [2.2915, 4.9999, 5.6878]],
  "species": ["As", "As", "Ca", "In"],
  "fractional_positions": [[0.0000, 0.0000, 0.9978], [0.0000, 0.0000, 0.5022], [0.5000, 0.5000, 0.2500], [0.5000, 0.5000, 0.7500]],
  "e_form_mev_per_atom": -284,
  "magnetic_moment_mub_per_atom": 0.0000,
  "mass_density_kg_m3": 5349,
  "crystal_system": "tetragonal",
  "n_ef_per_ev_atom": 0.506
}